Computed, not measured: an optimized crystal structure of Li3MnCoO5 at the GGA+U level of DFT.

Output
- polymorph energy (0 for the lowest one) (meV/atom) = 75.1

abc: 5.115 5.115 13.338
angles: 103.27 103.27 32.80
Fractional positions:
1 Li 0.000 0.000 0.000
2 Li 0.106 0.106 0.718
3 Li 0.312 0.312 0.085
4 Li 0.500 0.500 0.500
5 Li 0.688 0.688 0.915
6 Li 0.894 0.894 0.282
7 Mn 0.197 0.197 0.399
8 Mn 0.803 0.803 0.601
9 Co 0.398 0.398 0.822
10 Co 0.602 0.602 0.178
11 O 0.038 0.038 0.844
12 O 0.167 0.167 0.546
13 O 0.238 0.238 0.269
14 O 0.344 0.344 0.939
15 O 0.436 0.436 0.636
16 O 0.564 0.564 0.364
17 O 0.656 0.656 0.061
18 O 0.762 0.762 0.731
19 O 0.833 0.833 0.454
20 O 0.962 0.962 0.156